Entry 1:
## ZnInP2 (GGA-PBE)

Data for an optimized crystal structure of ZnInP2.

Cell lengths 6.6185, 6.6185, 6.6185 Å; angles 90.00, 90.00, 90.00 degrees
Last column: nearest neighbours and their distance in Å.
Fractional positions:
Zn 0.0000 0.0000 0.0000  8 P 2.87
Zn 0.0000 0.5000 0.5000  8 P 2.87
Zn 0.5000 0.0000 0.5000  8 P 2.87
Zn 0.5000 0.5000 0.0000  8 P 2.87
In 0.0000 0.0000 0.5000  8 P 2.87
In 0.0000 0.5000 0.0000  8 P 2.87
In 0.5000 0.0000 0.0000  8 P 2.87
In 0.5000 0.5000 0.5000  8 P 2.87
P 0.2500 0.2500 0.2500  4 In 2.87, 4 Zn 2.87
P 0.2500 0.2500 0.7500  4 In 2.87, 4 Zn 2.87
P 0.2500 0.7500 0.2500  4 In 2.87, 4 Zn 2.87
P 0.2500 0.7500 0.7500  4 In 2.87, 4 Zn 2.87
P 0.7500 0.2500 0.2500  4 In 2.87, 4 Zn 2.87
P 0.7500 0.2500 0.7500  4 In 2.87, 4 Zn 2.87
P 0.7500 0.7500 0.2500  4 In 2.87, 4 Zn 2.87
P 0.7500 0.7500 0.7500  4 In 2.87, 4 Zn 2.87

## Properties
Volume   289.9 Å³ per cell
Formation enthalpy at 0 K   0.46 eV/atom
Space-group type   No. 225
Total DFT energy (no corrections)   -3.2460 eV per atom

=====

Entry 2:
## ZnIn2P (GGA-PBE)

Data for an optimized crystal structure of ZnIn2P.

Cell lengths 4.3685, 4.3685, 8.9441 Å; angles 90.00, 90.00, 90.00 degrees
Last column: nearest neighbours and their distance in Å.
Fractional positions:
Zn 0.0000 0.0000 0.0000  8 In 3.09-3.13, 4 P 3.13
Zn 0.5000 0.5000 0.5000  8 In 3.09-3.13, 4 P 3.13
In 0.0000 0.0000 0.5000  4 Zn 3.09, 4 In 3.13, 4 P 3.13
In 0.0000 0.5000 0.7500  4 P 3.09, 4 In 3.13, 4 Zn 3.13
In 0.5000 0.0000 0.2500  4 P 3.09, 4 In 3.13, 4 Zn 3.13
In 0.5000 0.5000 0.0000  4 Zn 3.09, 4 In 3.13, 4 P 3.13
P 0.0000 0.5000 0.2500  8 In 3.09-3.13, 4 Zn 3.13
P 0.5000 0.0000 0.7500  8 In 3.09-3.13, 4 Zn 3.13

## Properties
Volume   170.7 Å³ per cell
Formation enthalpy at 0 K   0.29 eV/atom
Space-group type   No. 119
Polymorph energy (0 for the lowest one)   26.1 kJ/mol of atoms
Total DFT energy (no corrections)   -2.7454 eV per atom

=====

Entry 3:
## ZnInP (GGA-PBE)

Data for an optimized crystal structure of ZnInP.

Cell lengths 3.9191, 3.9191, 4.7049 Å; angles 90.00, 90.00, 120.00 degrees
Last column: nearest neighbours and their distance in Å.
Fractional positions:
Zn 0.0000 0.0000 0.0000  3 P 2.41
In 0.6667 0.3333 0.5558  3 P 2.89, 3 Zn 3.08
P 0.3333 0.6667 0.1753  3 Zn 2.41

## Properties
Volume   62.6 Å³ per cell
Formation enthalpy at 0 K   -0.01 eV/atom
Space-group type   No. 156
Polymorph energy (0 for the lowest one)   6.3 kJ/mol of atoms
Total DFT energy (no corrections)   -3.1467 eV per atom

=====

Entry 4:
## ZnInP2 (GGA-PBE)

Data for an optimized crystal structure of ZnInP2.

Cell lengths 3.7728, 5.3756, 7.4483 Å; angles 90.00, 90.00, 90.00 degrees
Last column: nearest neighbours and their distance in Å.
Fractional positions:
Zn 0.0000 0.0000 0.0000  4 P 2.46
Zn 0.5000 0.5000 0.5000  4 P 2.46
In 0.0000 0.0000 0.5000  8 P 2.85-3.12
In 0.5000 0.5000 0.0000  8 P 2.85-3.12
P 0.0000 0.5000 0.2873  2 Zn 2.46
P 0.0000 0.5000 0.7127  2 Zn 2.46
P 0.5000 0.0000 0.2127  2 Zn 2.46
P 0.5000 0.0000 0.7873  2 Zn 2.46

## Properties
Volume   151.1 Å³ per cell
Formation enthalpy at 0 K   0.35 eV/atom
Space-group type   No. 71
Total DFT energy (no corrections)   -3.3619 eV per atom

=====

Q: What is the total DFT energy (no corrections) in the third record?
A: -3.1467 eV per atom